The following is a SCAN calculation of Si2As2Rh at its PBEsol-relaxed geometry, from the Alexandria database.

Calculated values
The density of states at the Fermi level comes out at 2.84 states/eV per cell. The volume comes out at 16.0 A^3/atom. For the magnetic moment, the calculation gives 0.000 μB/atom. For the energy relative to the elements, uncorrected, the calculation gives 0.16 eV per atom. Its total energy is -186.73 eV/cell.

CIF file:
```
data_Si2As2Rh
_symmetry_space_group_name_H-M 'P 4/m b m'
_symmetry_Int_Tables_number 127
_symmetry_space_group_name_Hall '-P 4 2ab'
_cell_length_a 6.3136
_cell_length_b 6.3136
_cell_length_c 4.0152
_cell_angle_alpha 90.00
_cell_angle_beta 90.00
_cell_angle_gamma 90.00
loop_
_atom_site_label
_atom_site_type_symbol
_atom_site_fract_x
_atom_site_fract_y
_atom_site_fract_z
Si1 Si 0.1342 0.3658 0.0000
As1 As 0.2008 0.7008 0.5000
Rh1 Rh 0.0000 0.0000 0.0000
```